PrTmScAg | Alexandria via LeMat-Bulk | PBE-GGA | optimized geometry; N(E_F) = 1.20 states/eV/atom; calculated formation energy = 0.185 eV/f.u.; space group = No. 216
1.0
0.000 3.766 3.766
3.766 0.000 3.766
3.766 3.766 0.000
Pr Tm Sc Ag
1 1 1 1
Direct
0.000 0.000 0.000 Pr
0.500 0.500 0.500 Tm
0.750 0.750 0.750 Sc
0.250 0.250 0.250 Ag

---

PrScZnAg | Alexandria via LeMat-Bulk | PBE-GGA | optimized geometry; N(E_F) = 0.95 states/eV/atom; calculated formation energy = -0.967 eV/f.u.; space group = No. 216
1.0
0.000 3.593 3.593
3.593 0.000 3.593
3.593 3.593 0.000
Pr Sc Zn Ag
1 1 1 1
Direct
0.000 0.000 0.000 Pr
0.500 0.500 0.500 Sc
0.250 0.250 0.250 Zn
0.750 0.750 0.750 Ag